{"formula": "YSbRh2", "functional": "PBE", "state": "relaxed", "cell": [[5.0781, 0.0000, 0.0000], [0.0000, 4.5691, 0.0000], [-0.9703, 0.0000, 6.6786]], "species": ["Y", "Y", "Sb", "Sb", "Rh", "Rh", "Rh", "Rh"], "frac_coords": [[0.1882, 0.2500, 0.2232], [0.8118, 0.7500, 0.7768], [0.2862, 0.2500, 0.7214], [0.7138, 0.7500, 0.2786], [0.2945, 0.7500, 0.5014], [0.3410, 0.7500, 0.9437], [0.6590, 0.2500, 0.0563], [0.7055, 0.2500, 0.4986]], "formation_energy_uncorrected_ev_per_atom": -0.75, "magmom_total_mub_per_fu": 0.00}